(1)
! Ac2InPd2 PBE optimized geometry; values from VASP
&SYSTEM
  ibrav = 0, nat = 10, ntyp = 3
/
ATOMIC_SPECIES
Ac 227.00 Ac.upf
In 114.82 In.upf
Pd 106.42 Pd.upf
CELL_PARAMETERS angstrom
8.144 0.000 0.000
0.000 8.144 0.000
0.000 0.000 4.125
ATOMIC_POSITIONS angstrom
Ac 1.427 2.645 0.000
Ac 2.645 6.717 0.000
Ac 5.499 1.427 0.000
Ac 6.717 5.499 0.000
In 0.000 0.000 2.063
In 4.072 4.072 2.063
Pd 1.032 5.104 2.063
Pd 3.040 1.032 2.063
Pd 5.104 7.112 2.063
Pd 7.112 3.040 2.063
! Energy, eV/cell: -50.661
! Theoretical density, g cm⁻³: 9.49
! ΔE_f, meV/atom: -798
! Space group: No. 127
! Magnetic moment, Bohr magnetons per cell: 0.00
! Density of states at the Fermi level, states/eV/atom: 0.57

***

(2)
! Y2Pb2I PBE optimized geometry; values from VASP
&SYSTEM
  ibrav = 0, nat = 10, ntyp = 3
/
ATOMIC_SPECIES
Y 88.91 Y.upf
Pb 207.20 Pb.upf
I 126.90 I.upf
CELL_PARAMETERS angstrom
8.401 0.000 0.000
0.000 8.401 0.000
0.000 0.000 4.358
ATOMIC_POSITIONS angstrom
Y 1.440 2.761 0.000
Y 2.761 6.961 0.000
Y 5.640 1.440 0.000
Y 6.961 5.640 0.000
Pb 1.066 5.266 2.179
Pb 3.135 1.066 2.179
Pb 5.266 7.335 2.179
Pb 7.335 3.135 2.179
I 0.000 0.000 0.000
I 4.201 4.201 0.000
! Excess energy over the best structure of this formula in the dataset, eV/atom: 0.000
! Energy, eV/cell: -49.522
! Theoretical density, g cm⁻³: 7.77
! Space group: No. 127
! ΔE_f (raw), kJ per mole of atoms: -55.3
! Magnetic moment, Bohr magnetons per cell: 0.00
! Density of states at the Fermi level, states/eV/atom: 0.66

***

(3)
! TaNbTe3 PBE optimized geometry; values from VASP
&SYSTEM
  ibrav = 0, nat = 10, ntyp = 3
/
ATOMIC_SPECIES
Ta 180.95 Ta.upf
Nb 92.91 Nb.upf
Te 127.60 Te.upf
CELL_PARAMETERS angstrom
6.757 0.000 0.000
0.000 3.547 0.000
-1.447 0.000 12.422
ATOMIC_POSITIONS angstrom
Ta 0.467 0.887 3.183
Ta 4.844 2.661 9.239
Nb 2.469 2.661 4.185
Nb 2.842 0.887 8.237
Te 1.002 0.887 5.877
Te 1.564 2.661 1.407
Te 0.801 2.661 9.325
Te 4.510 0.887 3.097
Te 3.746 0.887 11.015
Te 4.308 2.661 6.545
! Excess energy over the best structure of this formula in the dataset, eV/atom: 0.000
! Energy, eV/cell: -64.654
! Theoretical density, g cm⁻³: 7.32
! Space group: No. 11
! ΔE_f (raw), kJ per mole of atoms: -18.9
! Magnetic moment, Bohr magnetons per cell: 0.00
! Density of states at the Fermi level, states/eV/atom: 0.40

***

Which value of magnetic moment does entry 2 give? 0.00 Bohr magnetons per cell

***

theoretical density of number 1 (Ac2InPd2)? 9.49 g cm⁻³